Computed, not measured: V2WO6 after structural relaxation at the PBE with a Hubbard U level of DFT.

## Properties
**Distance to the lowest polymorph of the same formula**: 111 meV/atom

Unit cell a=8.8782 b=8.8782 c=4.4873 alpha=90.00 beta=90.00 gamma=120.00
Atoms (fractional coordinates):
V 0.0000 0.3426 0.0000
V 0.0000 0.6574 0.0000
V 0.3426 0.0000 0.0000
V 0.3426 0.3426 0.0000
V 0.6574 0.0000 0.0000
V 0.6574 0.6574 0.0000
W 0.0000 0.0000 0.0000
W 0.3333 0.6667 0.5078
W 0.6667 0.3333 0.4922
O 0.1101 0.2202 0.2187
O 0.1101 0.8899 0.2187
O 0.1202 0.5601 0.2506
O 0.2202 0.1101 0.7813
O 0.2283 0.4566 0.7469
O 0.2283 0.7717 0.7469
O 0.4399 0.5601 0.2506
O 0.4399 0.8798 0.2506
O 0.4566 0.2283 0.2531
O 0.5434 0.7717 0.7469
O 0.5601 0.1202 0.7494
O 0.5601 0.4399 0.7494
O 0.7717 0.2283 0.2531
O 0.7717 0.5434 0.2531
O 0.7798 0.8899 0.2187
O 0.8798 0.4399 0.7494
O 0.8899 0.1101 0.7813
O 0.8899 0.7798 0.7813